Entry 1:
Entry from Alexandria: a geometry-optimized CaPbI3 structure (GGA-PBE).

The structure in CIF format:
```
data_CaPbI3
_chemical_formula_sum 'Ca1 Pb1 I3'
_cell_length_a 6.0506
_cell_length_b 6.0506
_cell_length_c 6.0506
_cell_angle_alpha 90.00
_cell_angle_beta 90.00
_cell_angle_gamma 90.00
_space_group_name_H-M_alt 'P 1'
_space_group_IT_number 1
loop_
_space_group_symop_operation_xyz
'x,y,z'
loop_
_atom_site_label
_atom_site_fract_x
_atom_site_fract_y
_atom_site_fract_z
Ca1 0.0000 0.0000 0.0000
Pb1 0.5000 0.5000 0.5000
I1 0.0000 0.0000 0.5000
I2 0.0000 0.5000 0.0000
I3 0.5000 0.0000 0.0000
```

Calculated values
- SG = Pm-3m, No. 221
- calculated volume (Å³/cell) = 221.51
- formation energy without anion corrections (eV/atom) = -0.734
- E (eV per atom) = -2.806
- magnetic moment (Bohr magnetons per cell) = 1.00

***

Entry 2:
Entry from Alexandria: a geometry-optimized LaSm2ErBi4 structure (GGA-PBE).

The structure in CIF format:
```
data_LaSm2ErBi4
_chemical_formula_sum 'La1 Sm2 Er1 Bi4'
_cell_length_a 7.9079
_cell_length_b 4.5763
_cell_length_c 7.9212
_cell_angle_alpha 90.00
_cell_angle_beta 109.47
_cell_angle_gamma 90.00
_space_group_name_H-M_alt 'P 1'
_space_group_IT_number 1
loop_
_space_group_symop_operation_xyz
'x,y,z'
loop_
_atom_site_label
_atom_site_fract_x
_atom_site_fract_y
_atom_site_fract_z
La1 0.0000 0.0000 0.0000
Sm1 0.0000 0.5000 0.5000
Sm2 0.5000 0.0000 0.5000
Er1 0.5000 0.5000 0.0000
Bi1 0.2575 0.0000 0.7526
Bi2 0.2575 0.5000 0.2524
Bi3 0.7425 0.5000 0.7476
Bi4 0.7425 0.0000 0.2474
```

Calculated values
- SG = P2/m, No. 10
- calculated volume (Å³/cell) = 270.27
- E_form (eV per atom) = -0.9201
- E (eV per atom) = -5.227
- magnetic moment (Bohr magnetons per cell) = 0.00

***

Question: Number 1 is which compound?
Answer: CaPbI3